Material: TlFe2P
Method: DFT, GGA-PBE
State: optimized geometry Values from VASP.

Structure (Quantum ESPRESSO input):
```
&SYSTEM
  ibrav = 0, nat = 4, ntyp = 3
/
ATOMIC_SPECIES
Fe 55.84 Fe.upf
P 30.97 P.upf
Tl 204.38 Tl.upf
ATOMIC_POSITIONS crystal
Fe 0.935 0.935 0.000
Fe 0.565 0.565 0.000
P 0.750 0.250 0.500
Tl 0.250 0.750 0.500
CELL_PARAMETERS angstrom
4.688 -0.032 0.005
0.701 4.635 -0.005
-1.936 -3.190 2.838
```

Values from the calculation:
Space group: Immm, No. 71
Crystal system: orthorhombic
Total moment (μB/cell): 2.4
DFT formation energy (eV per atom): 0.35